# 1
A relaxed TaTlCo2Se crystal. Source: Alexandria via LeMat-Bulk, functional PBE-GGA.

Properties
Theoretical density: 8.7 g/cm3
N(E_F): 10.9 states/eV per cell

Unit cell a=4.7351 b=4.7351 c=4.9698 alpha=90.00 beta=90.00 gamma=90.00
Last column: nearest neighbours and their distance in Å.
Space group P4/mmm (No. 123)
Asymmetric unit:
Ta (0.0000, 0.0000, 0.0000) [1 per cell]  4 Co 2.37, 2 Se 2.48
Tl (0.5000, 0.5000, 0.5000) [1 per cell]  4 Se 3.35, 8 Co 3.43
Co (0.0000, 0.5000, 0.0000) [2 per cell]  2 Ta 2.37
Se (0.0000, 0.0000, 0.5000) [1 per cell]  2 Ta 2.48

=====

# 2
A relaxed YTaCo2Se crystal. Source: Alexandria via LeMat-Bulk, functional PBE-GGA.

Properties
Theoretical density: 6.7 g/cm3
N(E_F): 7.2 states/eV per cell

Unit cell a=4.3882 b=4.3882 c=6.0282 alpha=90.00 beta=90.00 gamma=90.00
Last column: nearest neighbours and their distance in Å.
Space group P4/mmm (No. 123)
Asymmetric unit:
Y (0.0000, 0.0000, 0.0000) [1 per cell]  2 Ta 3.01, 4 Se 3.10
Ta (0.0000, 0.0000, 0.5000) [1 per cell]  4 Co 2.19
Co (0.0000, 0.5000, 0.5000) [2 per cell]  2 Ta 2.19
Se (0.5000, 0.5000, 0.0000) [1 per cell]  4 Y 3.10

=====

# 3
A relaxed Tb5CoSe4 crystal. Source: Alexandria via LeMat-Bulk, functional PBE-GGA.

Properties
Theoretical density: 8.0 g/cm3
N(E_F): 19.8 states/eV per cell

Unit cell a=9.1227 b=9.1227 c=5.8259 alpha=90.00 beta=90.00 gamma=90.00
Last column: nearest neighbours and their distance in Å.
Space group I4/m (No. 87)
Asymmetric unit:
Tb (0.0000, 0.0000, 0.0000) [2 per cell]  2 Co 2.91, 4 Se 2.92
Tb (0.0934, 0.2731, 0.5000) [8 per cell]  1 Co 2.63, 3 Se 2.89-2.93
Co (0.0000, 0.0000, 0.5000) [2 per cell]  6 Tb 2.63-2.91
Se (0.0916, 0.3067, 0.0000) [8 per cell]  6 Tb 2.89-3.05

=====

# 4
A relaxed TbCoSe2 crystal. Source: Alexandria via LeMat-Bulk, functional PBE-GGA.

Properties
Theoretical density: 6.8 g/cm3
N(E_F): 3.6 states/eV per cell

Unit cell a=3.6339 b=3.6339 c=24.2280 alpha=90.00 beta=90.00 gamma=120.00
Last column: nearest neighbours and their distance in Å.
Space group R-3m (No. 166, hexagonal axes)
Asymmetric unit:
Tb (0.0000, 0.0000, 0.0000) [3 per cell]  2 Se 2.84
Co (0.0000, 0.0000, 0.5000) [3 per cell]  6 Se 2.42
Se (0.0000, 0.0000, 0.1171) [6 per cell]  3 Co 2.42

=====

# 5
A relaxed TbCoSe crystal. Source: Alexandria via LeMat-Bulk, functional PBE-GGA.

Properties
Theoretical density: 7.8 g/cm3
N(E_F): 7.0 states/eV per cell

Unit cell a=3.7571 b=3.7571 c=10.3917 alpha=90.00 beta=90.00 gamma=120.00
Last column: nearest neighbours and their distance in Å.
Space group P-6m2 (No. 187)
Asymmetric unit:
Tb (0.0000, 0.0000, 0.1687) [2 per cell]  3 Co 2.79, 3 Se 2.91
Co (0.0000, 0.0000, 0.5000) [1 per cell]  6 Se 2.64
Co (0.6667, 0.3333, 0.0000) [1 per cell]  6 Tb 2.79
Se (0.6667, 0.3333, 0.3550) [2 per cell]  3 Co 2.64, 3 Tb 2.91

=====

# 6
A relaxed Tb3Co5Se12 crystal. Source: Alexandria via LeMat-Bulk, functional PBE-GGA.

Properties
Theoretical density: 6.5 g/cm3
N(E_F): 141.7 states/eV per cell

Unit cell a=15.2008 b=15.2008 c=15.2008 alpha=90.00 beta=90.00 gamma=90.00
Last column: nearest neighbours and their distance in Å.
Space group Ia-3d (No. 230)
Asymmetric unit:
Tb (0.0000, 0.2500, 0.1250) [24 per cell]  8 Se 2.98-3.00
Co (0.0000, 0.0000, 0.0000) [16 per cell]  6 Se 2.41
Co (0.0000, 0.2500, 0.3750) [24 per cell]  4 Se 2.30
Se (0.0308, 0.0561, 0.6453) [96 per cell]  2 Co 2.30-2.41

=====

# 7
A relaxed Tb4CoSe3 crystal. Source: Alexandria via LeMat-Bulk, functional PBE-GGA.

Properties
Theoretical density: 8.0 g/cm3
N(E_F): 9.3 states/eV per cell

Unit cell a=7.2584 b=8.2046 c=6.9111 alpha=90.00 beta=109.24 gamma=90.00
Last column: nearest neighbours and their distance in Å.
Space group P2/c (No. 13)
Asymmetric unit:
Tb (0.2251, 0.1157, 0.0056) [4 per cell]  2 Co 2.71-2.75, 2 Se 2.92-2.95
Tb (0.2318, 0.3478, 0.4782) [4 per cell]  1 Co 2.67, 4 Se 2.87-2.92
Co (0.0000, 0.1176, 0.2500) [2 per cell]  6 Tb 2.67-2.75
Se (0.0000, 0.3829, 0.7500) [2 per cell]  6 Tb 2.91-2.95
Se (0.5000, 0.1247, 0.7500) [2 per cell]  6 Tb 2.87-3.07
Se (0.5000, 0.3857, 0.2500) [2 per cell]  6 Tb 2.90-3.11

=====

# 8
A relaxed CoTc2Se crystal. Source: Alexandria via LeMat-Bulk, functional PBE-GGA.

Properties
Theoretical density: 10.1 g/cm3
N(E_F): 8.8 states/eV per cell

Unit cell a=3.8005 b=3.8005 c=7.6343 alpha=90.00 beta=90.00 gamma=90.00
Last column: nearest neighbours and their distance in Å.
Space group I-4m2 (No. 119)
Asymmetric unit:
Co (0.0000, 0.0000, 0.0000) [2 per cell]  8 Tc 2.69, 4 Se 2.69
Tc (0.0000, 0.0000, 0.5000) [2 per cell]  4 Co 2.69, 4 Tc 2.69, 4 Se 2.69
Tc (0.0000, 0.5000, 0.2500) [2 per cell]  4 Se 2.69, 4 Co 2.69, 4 Tc 2.69
Se (0.0000, 0.5000, 0.7500) [2 per cell]  8 Tc 2.69, 4 Co 2.69

=====

# 9
A relaxed CoTc2Se crystal. Source: Alexandria via LeMat-Bulk, functional PBE-GGA.

Properties
Theoretical density: 10.0 g/cm3
N(E_F): 4.0 states/eV per cell

Unit cell a=2.9856 b=2.9856 c=6.2115 alpha=90.00 beta=90.00 gamma=90.00
Last column: nearest neighbours and their distance in Å.
Space group P4/mmm (No. 123)
Asymmetric unit:
Co (0.0000, 0.0000, 0.0000) [1 per cell]  8 Tc 2.60
Tc (0.5000, 0.5000, 0.2436) [2 per cell]  4 Co 2.60, 4 Se 2.64
Se (0.0000, 0.0000, 0.5000) [1 per cell]  8 Tc 2.64

=====

# 10
A relaxed CoTcSe crystal. Source: Alexandria via LeMat-Bulk, functional PBE-GGA.

Properties
Theoretical density: 8.8 g/cm3
ΔE to the lowest computed polymorph: 0.0413 eV/atom
N(E_F): 19.0 states/eV per cell

Unit cell a=5.6255 b=5.6255 c=5.6255 alpha=90.00 beta=90.00 gamma=90.00
Last column: nearest neighbours and their distance in Å.
Space group F-43m (No. 216)
Asymmetric unit:
Co (0.0000, 0.0000, 0.0000) [4 per cell]  4 Se 2.44
Tc (0.0000, 0.0000, 0.5000) [4 per cell]  4 Se 2.44
Se (0.2500, 0.2500, 0.7500) [4 per cell]  4 Co 2.44, 4 Tc 2.44

=====

# 11
A relaxed CoTc2Se crystal. Source: Alexandria via LeMat-Bulk, functional PBE-GGA.

Properties
Theoretical density: 10.2 g/cm3
N(E_F): 7.1 states/eV per cell

Unit cell a=2.9863 b=4.2955 c=8.4851 alpha=90.00 beta=90.00 gamma=90.00
Last column: nearest neighbours and their distance in Å.
Space group Imm2 (No. 44)
Asymmetric unit:
Co (0.0000, 0.0000, 0.0000) [2 per cell]  2 Se 2.33
Tc (0.0000, 0.0000, 0.4530) [2 per cell]  2 Se 2.54, 4 Co 2.65, 2 Tc 2.77
Tc (0.0000, 0.5000, 0.2284) [2 per cell]  4 Se 2.62, 4 Co 2.75-2.89, 4 Tc 2.77-2.87
Se (0.0000, 0.5000, 0.7112) [2 per cell]  2 Co 2.33, 2 Tc 2.54

=====

# 12
A relaxed CoTcSe4 crystal. Source: Alexandria via LeMat-Bulk, functional PBE-GGA.

Properties
Theoretical density: 6.2 g/cm3
ΔE to the lowest computed polymorph: 0.0000 eV/atom
N(E_F): 5.3 states/eV per cell

Unit cell a=13.0350 b=3.4021 c=5.8529 alpha=90.00 beta=101.67 gamma=90.00
Last column: nearest neighbours and their distance in Å.
Space group Cm (No. 8)
Asymmetric unit:
Co (0.0000, 0.0000, 0.0000) [2 per cell]  6 Se 2.38-2.45
Tc (0.0016, 0.5000, 0.4057) [2 per cell]  6 Se 2.39-2.63
Se (0.0978, 0.5000, 0.8463) [2 per cell]  2 Co 2.41, 1 Tc 2.63
Se (0.1326, 0.0000, 0.3450) [2 per cell]  1 Co 2.38, 2 Tc 2.49
Se (0.3731, 0.0000, 0.0509) [2 per cell]  1 Tc 2.39, 2 Co 2.43
Se (0.4024, 0.5000, 0.5965) [2 per cell]  1 Co 2.45, 2 Tc 2.53

=====

# 13
A relaxed CoTc2Se crystal. Source: Alexandria via LeMat-Bulk, functional PBE-GGA.

Properties
Theoretical density: 9.8 g/cm3
N(E_F): 7.8 states/eV per cell

Unit cell a=3.7171 b=2.8717 c=10.6504 alpha=90.00 beta=90.00 gamma=90.00
Last column: nearest neighbours and their distance in Å.
Space group Amm2 (No. 38)
Asymmetric unit:
Co (0.0000, 0.0000, 0.0000) [2 per cell]  4 Se 2.48
Tc (0.0000, 0.0000, 0.7388) [2 per cell]  2 Se 2.55, 4 Tc 2.65, 1 Co 2.78
Tc (0.5000, 0.0000, 0.3532) [2 per cell]  1 Se 2.36, 4 Tc 2.65
Se (0.5000, 0.0000, 0.5752) [2 per cell]  3 Tc 2.36-2.55, 4 Co 2.48

=====

# 14
A relaxed CoTc2Se crystal. Source: Alexandria via LeMat-Bulk, functional PBE-GGA.

Properties
Theoretical density: 9.7 g/cm3
N(E_F): 4.3 states/eV per cell

Unit cell a=3.0149 b=4.3250 c=4.3962 alpha=90.00 beta=90.00 gamma=90.00
Last column: nearest neighbours and their distance in Å.
Space group Pmmm (No. 47)
Asymmetric unit:
Co (0.0000, 0.0000, 0.0000) [1 per cell]  4 Se 2.64, 4 Tc 2.67
Tc (0.0000, 0.5000, 0.5000) [1 per cell]  4 Tc 2.64, 4 Se 2.67
Tc (0.5000, 0.0000, 0.5000) [1 per cell]  4 Tc 2.64, 4 Co 2.67
Se (0.5000, 0.5000, 0.0000) [1 per cell]  4 Co 2.64, 4 Tc 2.67

=====

# 15
A relaxed CoTc2Se crystal. Source: Alexandria via LeMat-Bulk, functional PBE-GGA.

Properties
Theoretical density: 9.7 g/cm3
N(E_F): 4.1 states/eV per cell

Unit cell a=2.8823 b=3.9014 c=5.2006 alpha=90.00 beta=102.90 gamma=90.00
Last column: nearest neighbours and their distance in Å.
Space group P2/m (No. 10)
Asymmetric unit:
Co (0.0000, 0.0000, 0.0000) [1 per cell]  2 Se 2.60, 8 Tc 2.68-2.77, 2 Co 2.88
Tc (0.3703, 0.5000, 0.7549) [2 per cell]  2 Se 2.46, 1 Tc 2.49, 2 Co 2.68
Se (0.0000, 0.0000, 0.5000) [1 per cell]  4 Tc 2.46, 2 Co 2.60

=====

# 16
A relaxed CoTc2Se crystal. Source: Alexandria via LeMat-Bulk, functional PBE-GGA.

Properties
Theoretical density: 9.8 g/cm3
N(E_F): 8.6 states/eV per cell

Unit cell a=2.9808 b=4.2560 c=8.9589 alpha=90.00 beta=90.00 gamma=90.00
Last column: nearest neighbours and their distance in Å.
Space group Immm (No. 71)
Asymmetric unit:
Co (0.0000, 0.0000, 0.0000) [2 per cell]  4 Se 2.60, 4 Tc 2.89
Tc (0.0000, 0.5000, 0.2183) [4 per cell]  2 Se 2.46, 4 Tc 2.66
Se (0.0000, 0.0000, 0.5000) [2 per cell]  4 Tc 2.46, 4 Co 2.60

=====

# 17
A relaxed CoTcSe crystal. Source: Alexandria via LeMat-Bulk, functional PBE-GGA.

Properties
Theoretical density: 9.6 g/cm3
ΔE to the lowest computed polymorph: 0.0702 eV/atom
N(E_F): 4.6 states/eV per cell

Unit cell a=3.9674 b=3.9674 c=3.0084 alpha=90.00 beta=90.00 gamma=120.00
Last column: nearest neighbours and their distance in Å.
Space group P3m1 (No. 156)
Asymmetric unit:
Co (0.0000, 0.0000, 0.0000) [1 per cell]  3 Se 2.29
Tc (0.6667, 0.3333, 0.4999) [1 per cell]  6 Se 2.74, 6 Co 2.74, 2 Tc 3.01
Se (0.3333, 0.6667, 0.9977) [1 per cell]  3 Co 2.29

=====

# 18
A relaxed CoTc2Se crystal. Source: Alexandria via LeMat-Bulk, functional PBE-GGA.

Properties
Theoretical density: 9.6 g/cm3
N(E_F): 10.3 states/eV per cell

Unit cell a=6.1318 b=6.1318 c=6.1318 alpha=90.00 beta=90.00 gamma=90.00
Last column: nearest neighbours and their distance in Å.
Space group F-43m (No. 216)
Asymmetric unit:
Co (0.0000, 0.0000, 0.0000) [4 per cell]  4 Se 2.66, 4 Tc 2.66
Tc (0.0000, 0.0000, 0.5000) [4 per cell]  4 Se 2.66, 4 Tc 2.66
Tc (0.2500, 0.2500, 0.7500) [4 per cell]  4 Co 2.66, 4 Tc 2.66
Se (0.2500, 0.2500, 0.2500) [4 per cell]  4 Co 2.66, 4 Tc 2.66

=====

# 19
A relaxed CoTc2Se crystal. Source: Alexandria via LeMat-Bulk, functional PBE-GGA.

Properties
Theoretical density: 9.8 g/cm3
N(E_F): 5.5 states/eV per cell

Unit cell a=3.6555 b=3.6555 c=4.2227 alpha=90.00 beta=90.00 gamma=90.00
Last column: nearest neighbours and their distance in Å.
Space group P4/mmm (No. 123)
Asymmetric unit:
Co (0.0000, 0.0000, 0.0000) [1 per cell]  4 Se 2.58, 8 Tc 2.79
Tc (0.0000, 0.5000, 0.5000) [2 per cell]  4 Tc 2.58, 4 Co 2.79, 4 Se 2.79
Se (0.5000, 0.5000, 0.0000) [1 per cell]  4 Co 2.58, 8 Tc 2.79

=====

# 20
A relaxed CoTcSe crystal. Source: Alexandria via LeMat-Bulk, functional PBE-GGA.

Properties
Theoretical density: 9.4 g/cm3
ΔE to the lowest computed polymorph: 0.0000 eV/atom
N(E_F): 5.1 states/eV per cell

Unit cell a=3.0204 b=3.0204 c=9.1806 alpha=90.00 beta=90.00 gamma=90.00
Last column: nearest neighbours and their distance in Å.
Space group I4mm (No. 107)
Asymmetric unit:
Co (0.0000, 0.0000, 0.0000) [2 per cell]  4 Se 2.61, 4 Tc 2.69
Tc (0.0000, 0.0000, 0.6782) [2 per cell]  4 Se 2.58, 4 Co 2.69
Se (0.0000, 0.0000, 0.3358) [2 per cell]  4 Tc 2.58, 4 Co 2.61

=====

Asked for formation energy without anion corrections across the records above, the calculation gives 4.260 4.354 -14.424 -1.503 -1.125 -14.113 -11.015 1.551 0.948 0.887 0.841 -1.724 0.867 1.789 1.364 1.328 0.974 1.745 1.984 0.763 eV/f.u. in order.